No. 1
Computed, not measured: a crystal of FeCoPb relaxed with PBEsol at the SCAN level of DFT.

Results
Energy of formation from the pure elements in eV per atom: 0.4434
N(E_F) in states/eV per cell: 3.55
Total magnetic moment in μB/cell: 3.6

a = 4.110 Å, b = 4.110 Å, c = 4.110 Å
α = 60.00°, β = 60.00°, γ = 60.00°
Fractional coordinates of all 3 atoms:
Fe: 0.000 0.000 0.000
Co: 0.250 0.250 0.250
Pb: 0.500 0.500 0.500

***

No. 2
Computed, not measured: a crystal of Fe2CoPb relaxed with PBEsol at the SCAN level of DFT.

Results
Energy of formation from the pure elements in eV per atom: 0.5844
N(E_F) in states/eV per cell: 3.48
Total magnetic moment in μB/cell: 7.4

a = 7.997 Å, b = 7.997 Å, c = 7.997 Å
α = 21.44°, β = 21.44°, γ = 21.44°
Fractional coordinates of all 4 atoms:
Fe: 0.000 0.000 0.000
Fe: 0.260 0.260 0.260
Co: 0.522 0.522 0.522
Pb: 0.763 0.763 0.763

***

No. 3
Computed, not measured: a crystal of FeCo2Pb relaxed with PBEsol at the SCAN level of DFT.

Results
Energy of formation from the pure elements in eV per atom: 0.4419
N(E_F) in states/eV per cell: 2.78
Total magnetic moment in μB/cell: 6.3

a = 4.688 Å, b = 4.688 Å, c = 4.688 Å
α = 133.41°, β = 133.41°, γ = 68.01°
Fractional coordinates of all 4 atoms:
Fe: 0.000 0.000 0.000
Co: 0.250 0.750 0.500
Co: 0.500 0.500 0.000
Pb: 0.750 0.250 0.500